Record 1
InGaHg PBE relaxed; energy of formation from the pure elements = 0.90 kcal/mol of atoms
1.0
1.896 2.810 0.151
-1.896 2.810 0.151
0.000 2.724 13.950
Ga Hg In
2 2 2
direct
0.846 0.846 0.935
0.154 0.154 0.065
0.772 0.772 0.410
0.228 0.228 0.590
0.422 0.422 0.228
0.578 0.578 0.772

Record 2
ZrMn2P PBE relaxed; energy of formation from the pure elements = -5.21 kcal/mol of atoms
1.0
4.926 0.022 0.000
2.025 4.491 0.000
-3.476 -2.256 2.664
Mn Zr P
2 1 1
direct
0.500 0.500 0.000
0.000 0.000 0.000
0.750 0.250 0.500
0.250 0.750 0.500

Record 3
LaTlCl2 PBE relaxed; energy relative to the lowest polymorph listed for this composition = 209 meV/atom; formation energy from raw total energies = -470 kJ/mol of formula units
1.0
-5.646 2.242 -0.439
0.596 -2.296 5.610
-0.460 2.841 2.606
Tl La Cl
1 1 2
direct
0.000 0.500 0.500
0.500 0.000 0.500
0.500 0.500 0.000
0.000 0.000 0.000

Record 4
Sr2YNb PBE relaxed; energy of formation from the pure elements = 22.74 kcal/mol of atoms; energy relative to the lowest polymorph listed for this composition = 184 meV/atom
1.0
9.324 0.000 0.000
0.000 9.324 0.000
4.662 4.662 3.283
Y Nb Sr
2 2 4
direct
0.250 0.750 0.500
0.500 0.500 0.000
0.000 0.000 0.000
0.750 0.250 0.500
0.875 0.909 0.750
0.659 0.125 0.250
0.091 0.625 0.250
0.375 0.341 0.750

Record 5
RbSn PBE relaxed; energy of formation from the pure elements = 16.58 kcal/mol of atoms
1.0
-1.120 6.736 8.401
-9.624 3.163 -3.820
-4.831 -7.863 5.661
Rb Sn
6 6
direct
0.750 0.000 0.500
0.250 0.000 0.500
0.500 0.250 0.000
0.000 0.500 0.750
0.000 0.500 0.250
0.500 0.750 0.000
0.250 0.500 0.000
0.000 0.250 0.500
0.000 0.750 0.500
0.500 0.000 0.750
0.750 0.500 0.000
0.500 0.000 0.250

Record 6
OsPdRh5 PBE relaxed; energy of formation from the pure elements = 7.48 kcal/mol of atoms
1.0
-3.297 -1.856 0.698
0.812 -0.028 3.761
-3.447 6.423 0.791
Rh Pd Os
5 1 1
direct
0.000 0.500 0.272
0.500 0.500 0.000
0.500 0.000 0.728
0.500 0.000 0.272
0.000 0.500 0.728
0.000 0.000 0.000
0.000 0.000 0.500

Record 7
LaPrDy2Ho PBE relaxed; energy of formation from the pure elements = 8.26 kcal/mol of atoms
1.0
7.223 0.000 0.000
0.000 8.489 0.000
0.000 -4.244 5.812
Dy Ho La Pr
4 2 2 2
direct
0.000 0.686 0.000
0.500 0.686 0.000
0.500 0.314 0.000
0.000 0.314 0.000
0.250 0.282 0.564
0.750 0.718 0.436
0.750 0.265 0.530
0.250 0.735 0.470
0.750 0.001 0.001
0.250 0.999 0.999

Record 8
La6As2AuBr3 PBE relaxed; formation energy from raw total energies = -1577 kJ/mol of formula units
1.0
7.633 0.001 0.001
-3.814 6.612 0.001
-1.273 -2.204 7.073
La Au Br As
6 1 3 2
direct
0.415 0.076 0.231
0.924 0.585 0.769
0.585 0.924 0.769
0.739 0.739 0.232
0.261 0.261 0.768
0.076 0.415 0.231
0.000 0.000 0.000
0.167 0.833 0.500
0.500 0.500 0.500
0.833 0.167 0.500
0.666 0.334 0.000
0.334 0.666 0.000

no.,theoretical density (g cm⁻³),volume (Å³/cell)
1,8.70,147.1
2,6.55,58.8
3,6.02,114.2
4,4.15,285.4
5,1.60,1269.0
6,12.41,108.5
7,7.17,356.4
8,6.60,357.0